! NaPb, relaxed, DFT PBE-GGA; values from VASP
&SYSTEM
  ibrav = 0, nat = 16, ntyp = 2
/
ATOMIC_SPECIES
Na 22.99 Na.upf
Pb 207.20 Pb.upf
ATOMIC_POSITIONS angstrom
Na 1.165 1.615 0.007
Na 1.529 4.844 7.413
Na 2.571 1.615 2.840
Na 2.935 4.844 4.579
Na 5.266 1.615 4.565
Na 5.629 4.844 6.304
Na 6.672 1.615 1.732
Na 7.036 4.844 9.138
Pb 0.000 0.000 4.572
Pb 0.000 3.229 4.572
Pb 1.496 4.844 1.764
Pb 2.604 1.615 6.336
Pb 4.100 0.000 0.000
Pb 4.100 3.229 0.000
Pb 5.597 4.844 2.808
Pb 6.705 1.615 7.381
CELL_PARAMETERS angstrom
8.201 0.000 0.000
0.000 6.458 0.000
0.000 0.000 9.145
! E_tot   -5.2 eV per formula unit
! DOS at the Fermi energy   1.35 states/eV/f.u.
! SG   Pnma